# 1
# HfIr2O2 | Alexandria | PBE-GGA | relaxed
# Formation energy without anion corrections (eV per atom): 0.220
# Final energy (eV per atom): -7.299
# E above lowest polymorph (meV/atom): 1439
# Crystal system: tetragonal
data_HfIr2O2
_chemical_formula_sum 'Hf2 Ir4 O4'
_symmetry_space_group_name_H-M 'I 4/m m m'
_symmetry_Int_Tables_number 139
_symmetry_space_group_name_Hall '-I 4 2'
_cell_length_a 4.0089
_cell_length_b 4.0089
_cell_length_c 8.4082
_cell_angle_alpha 90.00
_cell_angle_beta 90.00
_cell_angle_gamma 90.00
loop_
_atom_site_label
_atom_site_fract_x
_atom_site_fract_y
_atom_site_fract_z
_atom_site_occupancy
Hf1 0.0000 0.0000 0.0000 1
Ir1 0.0000 0.5000 0.2500 1
O1 0.0000 0.0000 0.3760 1



# 2
# CaCr2In | Alexandria | PBE-GGA | relaxed
# Final energy (eV per atom): -5.668
# Crystal system: monoclinic
# Calculated formation energy (eV/f.u.): 1.31
data_CaCr2In
_chemical_formula_sum 'Ca2 Cr4 In2'
_symmetry_space_group_name_H-M 'C 1 m 1'
_symmetry_Int_Tables_number 8
_cell_length_a 9.3531
_cell_length_b 4.2717
_cell_length_c 4.9847
_cell_angle_alpha 90.00
_cell_angle_beta 122.11
_cell_angle_gamma 90.00
loop_
_symmetry_equiv_pos_as_xyz
'x,y,z'
'x,-y,z'
'x+1/2,y+1/2,z'
'x+1/2,-y+1/2,z'
loop_
_atom_site_label
_atom_site_fract_x
_atom_site_fract_y
_atom_site_fract_z
_atom_site_occupancy
Ca1 0.0000 0.0000 0.0000 1
Cr1 0.2761 0.5000 0.2768 1
Cr2 0.4510 0.0000 0.4508 1
In1 0.2183 0.0000 0.7179 1



# 3
# YCuSe2 | Alexandria | PBE-GGA | relaxed
# Formation energy without anion corrections (eV per atom): -0.414
# Final energy (eV per atom): -4.796
# Crystal system: cubic
data_YCuSe2
_chemical_formula_sum 'Y4 Cu4 Se8'
_symmetry_space_group_name_H-M 'F -4 3 m'
_symmetry_Int_Tables_number 216
_symmetry_space_group_name_Hall 'F -4 2 3'
_cell_length_a 6.9046
_cell_length_b 6.9046
_cell_length_c 6.9046
_cell_angle_alpha 90.00
_cell_angle_beta 90.00
_cell_angle_gamma 90.00
loop_
_atom_site_label
_atom_site_fract_x
_atom_site_fract_y
_atom_site_fract_z
_atom_site_occupancy
Y1 0.0000 0.0000 0.0000 1
Cu1 0.2500 0.2500 0.7500 1
Se1 0.0000 0.0000 0.5000 1
Se2 0.2500 0.2500 0.2500 1



# 4
# Ce5HoSe8 | Alexandria | PBE-GGA | relaxed
# Formation energy without anion corrections (eV per atom): -1.829
# Final energy (eV per atom): -6.266
# Crystal system: tetragonal
data_Ce5HoSe8
_chemical_formula_sum 'Ce10 Ho2 Se16'
_symmetry_space_group_name_H-M 'I -4'
_symmetry_Int_Tables_number 82
_cell_length_a 8.8482
_cell_length_b 8.8482
_cell_length_c 8.9271
_cell_angle_alpha 90.00
_cell_angle_beta 90.00
_cell_angle_gamma 90.00
loop_
_symmetry_equiv_pos_as_xyz
'x,y,z'
'y,-x,-z'
'-x,-y,z'
'-y,x,-z'
'x+1/2,y+1/2,z+1/2'
'y+1/2,-x+1/2,-z+1/2'
'-x+1/2,-y+1/2,z+1/2'
'-y+1/2,x+1/2,-z+1/2'
loop_
_atom_site_label
_atom_site_fract_x
_atom_site_fract_y
_atom_site_fract_z
_atom_site_occupancy
Ce1 0.0000 0.0000 0.0000 1
Ce2 0.1242 0.7498 0.3745 1
Ho1 0.0000 0.5000 0.7500 1
Se1 0.0733 0.8192 0.7018 1
Se2 0.0760 0.6735 0.0467 1